--- w ---
First-principles (GGA-PBE) data for a geometry-optimized MnRuBr2 structure, as listed in Alexandria via LeMat-Bulk.

a = 6.4571 Å, b = 6.4571 Å, c = 6.4571 Å
α = 146.30°, β = 146.30°, γ = 48.41°
Positions (direct):
Mn (0.0000, 0.0000, 0.0000)
Ru (0.2500, 0.7500, 0.5000)
Br (0.5000, 0.5000, 0.0000)
Br (0.7500, 0.2500, 0.5000)

Summary:
**Crystal system**: tetragonal
**Magnetic moment**: 1.58 μB per atom
**Space-group type**: No. 119


--- x ---
First-principles (GGA-PBE) data for a geometry-optimized MnRuBr2 structure, as listed in Alexandria via LeMat-Bulk.

a = 3.7506 Å, b = 4.1717 Å, c = 5.3556 Å
α = 90.00°, β = 90.78°, γ = 90.00°
Positions (direct):
Mn (0.0000, 0.0000, 0.0000)
Ru (0.5000, 0.0000, 0.5000)
Br (0.2707, 0.5000, 0.2598)
Br (0.7293, 0.5000, 0.7402)

Summary:
**Crystal system**: monoclinic
**Magnetic moment**: 1.51 μB per atom
**Space-group type**: No. 10


Relative energy of each structure, in kJ/mol of atoms: w 8.0; x 0.0.


--- w ---
First-principles (GGA-PBE) data for a geometry-optimized MnRuBr2 structure, as listed in Alexandria via LeMat-Bulk.

a = 4.6388 Å, b = 4.6388 Å, c = 3.3087 Å
α = 90.00°, β = 90.00°, γ = 90.00°
Positions (direct):
Mn (0.0000, 0.0000, 0.0000)
Ru (0.5000, 0.5000, 0.0000)
Br (0.0000, 0.5000, 0.5000)
Br (0.5000, 0.0000, 0.5000)

Summary:
**Crystal system**: tetragonal
**Magnetic moment**: 1.18 μB per atom
**Space-group type**: No. 123


--- x ---
First-principles (GGA-PBE) data for a geometry-optimized MnRuBr2 structure, as listed in Alexandria via LeMat-Bulk.

a = 8.1168 Å, b = 8.1168 Å, c = 8.1168 Å
α = 23.87°, β = 23.87°, γ = 23.87°
Positions (direct):
Mn (0.0000, 0.0000, 0.0000)
Ru (0.5000, 0.5000, 0.5000)
Br (0.2543, 0.2543, 0.2543)
Br (0.7457, 0.7457, 0.7457)

Summary:
**Crystal system**: trigonal
**Magnetic moment**: 0.49 μB per atom
**Space-group type**: No. 166


Relative energy of each structure, in kJ/mol of atoms: w 8.6; x 0.0.


--- w ---
First-principles (GGA-PBE) data for a geometry-optimized MnRuBr2 structure, as listed in Alexandria via LeMat-Bulk.

a = 3.8014 Å, b = 3.3410 Å, c = 7.7995 Å
α = 90.00°, β = 99.29°, γ = 90.00°
Positions (direct):
Mn (0.0000, 0.0000, 0.0000)
Ru (0.4577, 0.5000, 0.8908)
Br (0.3387, 0.0000, 0.6546)
Br (0.6956, 0.5000, 0.2116)

Summary:
**Crystal system**: monoclinic
**Magnetic moment**: 1.21 μB per atom
**Space-group type**: No. 6


--- x ---
First-principles (GGA-PBE) data for a geometry-optimized MnRuBr2 structure, as listed in Alexandria via LeMat-Bulk.

a = 4.4804 Å, b = 4.4804 Å, c = 4.4804 Å
α = 60.00°, β = 60.00°, γ = 60.00°
Positions (direct):
Mn (0.0000, 0.0000, 0.0000)
Ru (0.5000, 0.5000, 0.5000)
Br (0.2500, 0.2500, 0.2500)
Br (0.7500, 0.7500, 0.7500)

Summary:
**Crystal system**: cubic
**Magnetic moment**: 0.00 μB per atom
**Space-group type**: No. 225


--- y ---
First-principles (GGA-PBE) data for a geometry-optimized MnRuBr2 structure, as listed in Alexandria via LeMat-Bulk.

a = 8.3730 Å, b = 8.3730 Å, c = 8.3730 Å
α = 22.45°, β = 22.45°, γ = 22.45°
Positions (direct):
Mn (0.0000, 0.0000, 0.0000)
Ru (0.5000, 0.5000, 0.5000)
Br (0.0925, 0.0925, 0.0925)
Br (0.9075, 0.9075, 0.9075)

Summary:
**Crystal system**: trigonal
**Magnetic moment**: 0.00 μB per atom
**Space-group type**: No. 166


Relative energy of each structure, in kJ/mol of atoms: w 0.0; x 96.9; y 92.7.


--- w ---
First-principles (GGA-PBE) data for a geometry-optimized MnRuBr2 structure, as listed in Alexandria via LeMat-Bulk.

a = 3.5044 Å, b = 3.5044 Å, c = 8.3005 Å
α = 90.00°, β = 90.00°, γ = 123.36°
Positions (direct):
Mn (0.0000, 0.0000, 0.0000)
Ru (0.0000, 0.0000, 0.5000)
Br (0.5000, 0.5000, 0.2455)
Br (0.5000, 0.5000, 0.7545)

Summary:
**Crystal system**: orthorhombic
**Magnetic moment**: 1.68 μB per atom
**Space-group type**: No. 65


--- x ---
First-principles (GGA-PBE) data for a geometry-optimized MnRuBr2 structure, as listed in Alexandria via LeMat-Bulk.

a = 8.2864 Å, b = 8.2864 Å, c = 8.2864 Å
α = 157.28°, β = 154.00°, γ = 34.80°
Positions (direct):
Mn (0.0000, 0.0000, 0.0000)
Ru (0.1293, 0.6293, 0.5000)
Br (0.4182, 0.4182, 0.0000)
Br (0.6748, 0.1748, 0.5000)

Summary:
**Crystal system**: orthorhombic
**Magnetic moment**: 1.23 μB per atom
**Space-group type**: No. 44


--- y ---
First-principles (GGA-PBE) data for a geometry-optimized MnRuBr2 structure, as listed in Alexandria via LeMat-Bulk.

a = 4.8793 Å, b = 4.8793 Å, c = 4.8793 Å
α = 60.00°, β = 60.00°, γ = 60.00°
Positions (direct):
Mn (0.0000, 0.0000, 0.0000)
Ru (0.7500, 0.7500, 0.7500)
Br (0.2500, 0.2500, 0.2500)
Br (0.5000, 0.5000, 0.5000)

Summary:
**Crystal system**: cubic
**Magnetic moment**: 1.74 μB per atom
**Space-group type**: No. 216


Relative energy of each structure, in kJ/mol of atoms: w 38.5; x 0.0; y 68.0.


--- w ---
First-principles (GGA-PBE) data for a geometry-optimized Mn2SBr structure, as listed in Alexandria via LeMat-Bulk.

a = 6.3848 Å, b = 6.3848 Å, c = 6.3848 Å
α = 132.67°, β = 132.67°, γ = 69.18°
Positions (direct):
Mn (0.0858, 0.6250, 0.9608)
Mn (0.3750, 0.3358, 0.4608)
Mn (0.6642, 0.1250, 0.0392)
Mn (0.8750, 0.9142, 0.5392)
S (0.0000, 0.0000, 0.0000)
S (0.7500, 0.2500, 0.5000)
Br (0.2500, 0.7500, 0.5000)
Br (0.5000, 0.5000, 0.0000)

Summary:
**Crystal system**: tetragonal
**Magnetic moment**: 0.00 μB per atom
**Space-group type**: No. 122


--- x ---
First-principles (GGA-PBE) data for a geometry-optimized Mn2SBr structure, as listed in Alexandria via LeMat-Bulk.

a = 4.1824 Å, b = 4.1824 Å, c = 4.1824 Å
α = 60.00°, β = 60.00°, γ = 60.00°
Positions (direct):
Mn (0.2500, 0.2500, 0.2500)
Mn (0.7500, 0.7500, 0.7500)
S (0.0000, 0.0000, 0.0000)
Br (0.5000, 0.5000, 0.5000)

Summary:
**Crystal system**: cubic
**Magnetic moment**: 0.00 μB per atom
**Space-group type**: No. 225


Relative energy of each structure, in kJ/mol of atoms: w 0.0; x 37.5.


--- w ---
First-principles (GGA-PBE) data for a geometry-optimized MnSBr3 structure, as listed in Alexandria via LeMat-Bulk.

a = 5.2201 Å, b = 5.2201 Å, c = 5.2201 Å
α = 90.00°, β = 90.00°, γ = 90.00°
Positions (direct):
Mn (0.0000, 0.0000, 0.0000)
S (0.5000, 0.5000, 0.5000)
Br (0.0000, 0.5000, 0.5000)
Br (0.5000, 0.0000, 0.5000)
Br (0.5000, 0.5000, 0.0000)

Summary:
**Crystal system**: cubic
**Magnetic moment**: 1.13 μB per atom
**Space-group type**: No. 221


--- x ---
First-principles (GGA-PBE) data for a geometry-optimized MnSBr3 structure, as listed in Alexandria via LeMat-Bulk.

a = 4.8422 Å, b = 4.8422 Å, c = 4.8422 Å
α = 90.00°, β = 90.00°, γ = 90.00°
Positions (direct):
Mn (0.0000, 0.0000, 0.0000)
S (0.5000, 0.5000, 0.5000)
Br (0.0000, 0.0000, 0.5000)
Br (0.0000, 0.5000, 0.0000)
Br (0.5000, 0.0000, 0.0000)

Summary:
**Crystal system**: cubic
**Magnetic moment**: 0.00 μB per atom
**Space-group type**: No. 221


Relative energy of each structure, in kJ/mol of atoms: w 0.0; x 9.8.


--- w ---
First-principles (GGA-PBE) data for a geometry-optimized MnSbS2Br structure, as listed in Alexandria via LeMat-Bulk.

a = 5.1889 Å, b = 5.1889 Å, c = 4.6888 Å
α = 90.00°, β = 90.00°, γ = 90.00°
Positions (direct):
Mn (0.0000, 0.0000, 0.0000)
Sb (0.5000, 0.5000, 0.0000)
S (0.0000, 0.5000, 0.5000)
S (0.5000, 0.0000, 0.5000)
Br (0.0000, 0.0000, 0.5000)

Summary:
**Crystal system**: tetragonal
**Magnetic moment**: 0.91 μB per atom
**Space-group type**: No. 123


--- x ---
First-principles (GGA-PBE) data for a geometry-optimized MnSbS2Br structure, as listed in Alexandria via LeMat-Bulk.

a = 6.6705 Å, b = 6.6705 Å, c = 9.6267 Å
α = 91.79°, β = 91.79°, γ = 33.66°
Positions (direct):
Mn (0.0000, 0.0000, 0.0000)
Mn (0.0000, 0.0000, 0.5000)
Sb (0.2918, 0.2918, 0.6886)
Sb (0.7082, 0.7082, 0.3114)
S (0.0729, 0.0729, 0.2597)
S (0.3619, 0.3619, 0.4482)
S (0.6381, 0.6381, 0.5518)
S (0.9271, 0.9271, 0.7403)
Br (0.3677, 0.3677, 0.0651)
Br (0.6323, 0.6323, 0.9349)

Summary:
**Crystal system**: monoclinic
**Magnetic moment**: 1.00 μB per atom
**Space-group type**: No. 12


Relative energy of each structure, in kJ/mol of atoms: w 137.1; x 0.0.


--- w ---
First-principles (GGA-PBE) data for a geometry-optimized MnSeSBr2 structure, as listed in Alexandria via LeMat-Bulk.

a = 4.8620 Å, b = 4.8620 Å, c = 4.6182 Å
α = 90.00°, β = 90.00°, γ = 90.00°
Positions (direct):
Mn (0.0000, 0.0000, 0.0000)
Se (0.0000, 0.0000, 0.5000)
S (0.5000, 0.5000, 0.5000)
Br (0.0000, 0.5000, 0.0000)
Br (0.5000, 0.0000, 0.0000)

Summary:
**Crystal system**: tetragonal
**Magnetic moment**: 0.00 μB per atom
**Space-group type**: No. 123


--- x ---
First-principles (GGA-PBE) data for a geometry-optimized MnSeSBr2 structure, as listed in Alexandria via LeMat-Bulk.

a = 5.0840 Å, b = 5.0840 Å, c = 5.0192 Å
α = 90.00°, β = 90.00°, γ = 90.00°
Positions (direct):
Mn (0.0000, 0.0000, 0.0000)
Se (0.5000, 0.5000, 0.0000)
S (0.5000, 0.5000, 0.5000)
Br (0.0000, 0.5000, 0.5000)
Br (0.5000, 0.0000, 0.5000)

Summary:
**Crystal system**: tetragonal
**Magnetic moment**: 1.05 μB per atom
**Space-group type**: No. 123


Relative energy of each structure, in kJ/mol of atoms: w 3.8; x 0.0.


--- w ---
First-principles (GGA-PBE) data for a geometry-optimized MnSbBr2 structure, as listed in Alexandria via LeMat-Bulk.

a = 7.0711 Å, b = 7.0711 Å, c = 7.0711 Å
α = 146.00°, β = 146.00°, γ = 48.85°
Positions (direct):
Mn (0.0000, 0.0000, 0.0000)
Sb (0.2500, 0.7500, 0.5000)
Br (0.5000, 0.5000, 0.0000)
Br (0.7500, 0.2500, 0.5000)

Summary:
**Crystal system**: tetragonal
**Magnetic moment**: 1.25 μB per atom
**Space-group type**: No. 119


--- x ---
First-principles (GGA-PBE) data for a geometry-optimized MnSbBr2 structure, as listed in Alexandria via LeMat-Bulk.

a = 3.2896 Å, b = 3.2896 Å, c = 11.9664 Å
α = 90.00°, β = 90.00°, γ = 90.00°
Positions (direct):
Mn (0.0000, 0.0000, 0.0000)
Sb (0.0000, 0.0000, 0.5000)
Br (0.5000, 0.5000, 0.1382)
Br (0.5000, 0.5000, 0.8618)

Summary:
**Crystal system**: tetragonal
**Magnetic moment**: 1.24 μB per atom
**Space-group type**: No. 123


--- y ---
First-principles (GGA-PBE) data for a geometry-optimized MnSbBr2 structure, as listed in Alexandria via LeMat-Bulk.

a = 11.9073 Å, b = 11.9073 Å, c = 11.9073 Å
α = 17.33°, β = 17.33°, γ = 17.33°
Positions (direct):
Mn (0.0000, 0.0000, 0.0000)
Sb (0.5000, 0.5000, 0.5000)
Br (0.3801, 0.3801, 0.3801)
Br (0.6199, 0.6199, 0.6199)

Summary:
**Crystal system**: trigonal
**Magnetic moment**: 1.22 μB per atom
**Space-group type**: No. 166


Relative energy of each structure, in kJ/mol of atoms: w 49.8; x 17.9; y 0.0.


--- w ---
First-principles (GGA-PBE) data for a geometry-optimized MnSbBr2 structure, as listed in Alexandria via LeMat-Bulk.

a = 3.4824 Å, b = 3.4824 Å, c = 8.7485 Å
α = 90.00°, β = 90.00°, γ = 90.00°
Positions (direct):
Mn (0.0000, 0.0000, 0.0000)
Sb (0.5000, 0.5000, 0.2102)
Br (0.0000, 0.0000, 0.4364)
Br (0.5000, 0.5000, 0.8348)

Summary:
**Crystal system**: tetragonal
**Magnetic moment**: 1.09 μB per atom
**Space-group type**: No. 99


--- x ---
First-principles (GGA-PBE) data for a geometry-optimized MnSbBr2 structure, as listed in Alexandria via LeMat-Bulk.

a = 5.1627 Å, b = 5.1627 Å, c = 5.1627 Å
α = 60.00°, β = 60.00°, γ = 60.00°
Positions (direct):
Mn (0.0000, 0.0000, 0.0000)
Sb (0.5000, 0.5000, 0.5000)
Br (0.2500, 0.2500, 0.2500)
Br (0.7500, 0.7500, 0.7500)

Summary:
**Crystal system**: cubic
**Magnetic moment**: 0.94 μB per atom
**Space-group type**: No. 225


--- y ---
First-principles (GGA-PBE) data for a geometry-optimized MnSbBr2 structure, as listed in Alexandria via LeMat-Bulk.

a = 6.8348 Å, b = 6.8348 Å, c = 6.8348 Å
α = 119.79°, β = 119.79°, γ = 90.36°
Positions (direct):
Mn (0.0000, 0.0000, 0.0000)
Mn (0.7500, 0.2500, 0.5000)
Sb (0.2500, 0.7500, 0.5000)
Sb (0.5000, 0.5000, 0.0000)
Br (0.0120, 0.6250, 0.8870)
Br (0.3750, 0.2620, 0.3870)
Br (0.7380, 0.1250, 0.1130)
Br (0.8750, 0.9880, 0.6130)

Summary:
**Crystal system**: tetragonal
**Magnetic moment**: 0.00 μB per atom
**Space-group type**: No. 122


--- z ---
First-principles (GGA-PBE) data for a geometry-optimized MnSbBr2 structure, as listed in Alexandria via LeMat-Bulk.

a = 3.4952 Å, b = 3.4952 Å, c = 12.4422 Å
α = 90.00°, β = 90.00°, γ = 116.74°
Positions (direct):
Mn (0.0000, 0.0000, 0.0000)
Sb (0.0000, 0.0000, 0.5000)
Br (0.5000, 0.5000, 0.1435)
Br (0.5000, 0.5000, 0.8565)

Summary:
**Crystal system**: orthorhombic
**Magnetic moment**: 1.24 μB per atom
**Space-group type**: No. 65


Relative energy of each structure, in kJ/mol of atoms: w 2.9; x 45.7; y 71.9; z 0.0.


--- w ---
First-principles (GGA-PBE) data for a geometry-optimized MnSbBr2 structure, as listed in Alexandria via LeMat-Bulk.

a = 8.0332 Å, b = 8.0332 Å, c = 8.0332 Å
α = 155.32°, β = 142.94°, γ = 45.04°
Positions (direct):
Mn (0.0000, 0.0000, 0.0000)
Sb (0.5000, 0.5000, 0.0000)
Br (0.1368, 0.6368, 0.5000)
Br (0.8632, 0.3632, 0.5000)

Summary:
**Crystal system**: orthorhombic
**Magnetic moment**: 1.01 μB per atom
**Space-group type**: No. 71


--- x ---
First-principles (GGA-PBE) data for a geometry-optimized MnSbBr2 structure, as listed in Alexandria via LeMat-Bulk.

a = 5.6366 Å, b = 3.5853 Å, c = 5.7332 Å
α = 90.00°, β = 102.67°, γ = 90.00°
Positions (direct):
Mn (0.0000, 0.0000, 0.0000)
Sb (0.6668, 0.5000, 0.7331)
Br (0.3474, 0.5000, 0.0609)
Br (0.9769, 0.0000, 0.4381)

Summary:
**Crystal system**: monoclinic
**Magnetic moment**: 1.01 μB per atom
**Space-group type**: No. 6


Relative energy of each structure, in kJ/mol of atoms: w 13.2; x 0.0.


--- w ---
First-principles (GGA-PBE) data for a geometry-optimized MnSbBr2 structure, as listed in Alexandria via LeMat-Bulk.

a = 3.6620 Å, b = 3.6620 Å, c = 9.3920 Å
α = 90.00°, β = 90.00°, γ = 116.59°
Positions (direct):
Mn (0.0000, 0.0000, 0.0000)
Sb (0.5000, 0.5000, 0.2100)
Br (0.0000, 0.0000, 0.4505)
Br (0.5000, 0.5000, 0.8284)

Summary:
**Crystal system**: orthorhombic
**Magnetic moment**: 1.02 μB per atom
**Space-group type**: No. 35


--- x ---
First-principles (GGA-PBE) data for a geometry-optimized MnSbBr2 structure, as listed in Alexandria via LeMat-Bulk.

a = 4.7692 Å, b = 3.4682 Å, c = 6.1756 Å
α = 90.00°, β = 90.35°, γ = 90.00°
Positions (direct):
Mn (0.0000, 0.0000, 0.0000)
Sb (0.0000, 0.5000, 0.5000)
Br (0.5000, 0.0000, 0.5000)
Br (0.5000, 0.5000, 0.0000)

Summary:
**Crystal system**: monoclinic
**Magnetic moment**: 1.21 μB per atom
**Space-group type**: No. 10


--- y ---
First-principles (GGA-PBE) data for a geometry-optimized MnSbBr2 structure, as listed in Alexandria via LeMat-Bulk.

a = 10.0484 Å, b = 10.0484 Å, c = 10.0484 Å
α = 20.55°, β = 20.55°, γ = 20.55°
Positions (direct):
Mn (0.0000, 0.0000, 0.0000)
Sb (0.5000, 0.5000, 0.5000)
Br (0.0806, 0.0806, 0.0806)
Br (0.9194, 0.9194, 0.9194)

Summary:
**Crystal system**: trigonal
**Magnetic moment**: 1.06 μB per atom
**Space-group type**: No. 166


Relative energy of each structure, in kJ/mol of atoms: w 0.0; x 19.1; y 20.0.